# GGA-PBE MoAuSe4, relaxed
# M_tot, μB per formula unit: 3.63
# Energy, eV for the cell shown: -88.40
# Formation energy from raw total energies, eV/atom: 0.99
data_MoAuSe4
_space_group_name_H-M_alt 'F -4 3 m'
_space_group_IT_number 216
_space_group_name_Hall 'F -4 2 3'
_cell_length_a 7.978
_cell_length_b 7.978
_cell_length_c 7.978
_cell_angle_alpha 90.00
_cell_angle_beta 90.00
_cell_angle_gamma 90.00
loop_
_atom_site_label
_atom_site_fract_x
_atom_site_fract_y
_atom_site_fract_z
Mo1 0.000 0.000 0.000
Au1 0.250 0.250 0.250
Se1 0.125 0.125 0.625

# GGA-PBE Mo2AuSe, relaxed
# M_tot, μB per formula unit: 0.00
# Energy, eV for the cell shown: -54.74
# Formation energy from raw total energies, eV/atom: 0.26
data_Mo2AuSe
_space_group_name_H-M_alt 'C m m 2'
_space_group_IT_number 35
_cell_length_a 3.261
_cell_length_b 4.639
_cell_length_c 9.512
_cell_angle_alpha 90.00
_cell_angle_beta 90.00
_cell_angle_gamma 90.00
loop_
_space_group_symop_operation_xyz
'x,y,z'
'-x,-y,z'
'-x,y,z'
'x,-y,z'
'x+1/2,y+1/2,z'
'-x+1/2,-y+1/2,z'
'-x+1/2,y+1/2,z'
'x+1/2,-y+1/2,z'
loop_
_atom_site_label
_atom_site_fract_x
_atom_site_fract_y
_atom_site_fract_z
Mo1 0.000 0.000 0.000
Mo2 0.000 0.500 0.215
Au1 0.000 0.500 0.754
Se1 0.000 0.000 0.440

# GGA-PBE MoAu2Se, relaxed
# M_tot, μB per formula unit: 2.72
# Energy, eV for the cell shown: -18.95
# Formation energy from raw total energies, eV/atom: 0.48
data_MoAu2Se
_space_group_name_H-M_alt 'P 4/m m m'
_space_group_IT_number 123
_space_group_name_Hall '-P 4 2'
_cell_length_a 3.862
_cell_length_b 3.862
_cell_length_c 5.007
_cell_angle_alpha 90.00
_cell_angle_beta 90.00
_cell_angle_gamma 90.00
loop_
_atom_site_label
_atom_site_fract_x
_atom_site_fract_y
_atom_site_fract_z
Mo1 0.000 0.000 0.000
Au1 0.000 0.500 0.500
Se1 0.500 0.500 0.000

# GGA-PBE MoAu2Se, relaxed
# M_tot, μB per formula unit: 0.00
# Energy, eV for the cell shown: -39.78
# Formation energy from raw total energies, eV/atom: 0.24
data_MoAu2Se
_space_group_name_H-M_alt 'C 1 m 1'
_space_group_IT_number 8
_cell_length_a 8.531
_cell_length_b 3.131
_cell_length_c 5.582
_cell_angle_alpha 90.00
_cell_angle_beta 97.94
_cell_angle_gamma 90.00
loop_
_space_group_symop_operation_xyz
'x,y,z'
'x,-y,z'
'x+1/2,y+1/2,z'
'x+1/2,-y+1/2,z'
loop_
_atom_site_label
_atom_site_fract_x
_atom_site_fract_y
_atom_site_fract_z
Mo1 0.000 0.000 0.000
Au1 0.014 0.500 0.471
Au2 0.262 0.000 0.716
Se1 0.221 0.500 0.153

# GGA-PBE MoAuSe, relaxed
# M_tot, μB per formula unit: 0.00
# Excess energy over the best structure of this formula in the dataset, kJ/mol of atoms: 28.79
# Energy, eV for the cell shown: -16.67
# Formation energy from raw total energies, eV/atom: 0.31
data_MoAuSe
_space_group_name_H-M_alt 'P 3 m 1'
_space_group_IT_number 156
_cell_length_a 4.2314
_cell_length_b 4.2314
_cell_length_c 3.4987
_cell_angle_alpha 90.00
_cell_angle_beta 90.00
_cell_angle_gamma 120.00
loop_
_space_group_symop_operation_xyz
'x,y,z'
'-y,x-y,z'
'-x+y,-x,z'
'-y,-x,z'
'-x+y,y,z'
'x,x-y,z'
loop_
_atom_site_label
_atom_site_fract_x
_atom_site_fract_y
_atom_site_fract_z
Mo1 0.0000 0.0000 0.0000
Au1 0.6667 0.3333 0.4741
Se1 0.3333 0.6667 0.9317

# GGA-PBE MoAu2Se, relaxed
# M_tot, μB per formula unit: 0.00
# Energy, eV for the cell shown: -19.13
# Formation energy from raw total energies, eV/atom: 0.43
data_MoAu2Se
_space_group_name_H-M_alt 'P 1 2/m 1'
_space_group_IT_number 10
_cell_length_a 2.808
_cell_length_b 5.160
_cell_length_c 5.067
_cell_angle_alpha 90.00
_cell_angle_beta 95.05
_cell_angle_gamma 90.00
loop_
_space_group_symop_operation_xyz
'x,y,z'
'-x,-y,-z'
'-x,y,-z'
'x,-y,z'
loop_
_atom_site_label
_atom_site_fract_x
_atom_site_fract_y
_atom_site_fract_z
Mo1 0.000 0.000 0.000
Au1 0.261 0.500 0.757
Se1 0.000 0.000 0.500

# GGA-PBE Mo2AuSe, relaxed
# M_tot, μB per formula unit: 0.00
# Energy, eV for the cell shown: -81.73
# Formation energy from raw total energies, eV/atom: 0.29
data_Mo2AuSe
_space_group_name_H-M_alt 'R -3 m'
_space_group_IT_number 166
_space_group_name_Hall '-R 3 2"'
_cell_length_a 2.9765
_cell_length_b 2.9765
_cell_length_c 25.8366
_cell_angle_alpha 90.00
_cell_angle_beta 90.00
_cell_angle_gamma 120.00
loop_
_atom_site_label
_atom_site_fract_x
_atom_site_fract_y
_atom_site_fract_z
Mo1 0.0000 0.0000 0.2437
Au1 0.0000 0.0000 0.0000
Se1 0.0000 0.0000 0.5000

# GGA-PBE Mo2AuSe, relaxed
# M_tot, μB per formula unit: 0.00
# Energy, eV for the cell shown: -52.59
# Formation energy from raw total energies, eV/atom: 0.53
data_Mo2AuSe
_space_group_name_H-M_alt 'C 1 2/m 1'
_space_group_IT_number 12
_cell_length_a 5.502
_cell_length_b 8.650
_cell_length_c 2.945
_cell_angle_alpha 90.00
_cell_angle_beta 106.00
_cell_angle_gamma 90.00
loop_
_space_group_symop_operation_xyz
'x,y,z'
'-x,-y,-z'
'-x,y,-z'
'x,-y,z'
'x+1/2,y+1/2,z'
'-x+1/2,-y+1/2,-z'
'-x+1/2,y+1/2,-z'
'x+1/2,-y+1/2,z'
loop_
_atom_site_label
_atom_site_fract_x
_atom_site_fract_y
_atom_site_fract_z
Mo1 0.250 0.250 0.000
Au1 0.000 0.000 0.500
Se1 0.000 0.500 0.500